Density functional theory data (PBE) for an optimized crystal structure of ZrHRuRh2.

Cell and atoms, written as CIF:
```
data_ZrHRuRh2
_chemical_formula_sum 'Zr1 H1 Ru1 Rh2'
_space_group_name_H-M_alt 'P 4/m m m'
_space_group_IT_number 123
_space_group_name_Hall '-P 4 2'
_cell_length_a 3.928
_cell_length_b 3.928
_cell_length_c 4.189
_cell_angle_alpha 90.00
_cell_angle_beta 90.00
_cell_angle_gamma 90.00
loop_
_atom_site_label
_atom_site_type_symbol
_atom_site_fract_x
_atom_site_fract_y
_atom_site_fract_z
Zr1 Zr 0.000 0.000 0.000
H1 H 0.000 0.000 0.500
Ru1 Ru 0.500 0.500 0.000
Rh1 Rh 0.000 0.500 0.500
```

Raw total energy (eV/atom): -7.583
Excess energy over the best structure of this formula in the dataset (kJ per mole of atoms): 6.8
Mass density (Mg/m³): 10.3